1.
Compound: RbCa
Source: the Alexandria database
Functional: PBE
Structure: relaxed

Properties
Calculated total energy ... -7.44 eV per cell
Formation energy ... 0.56 eV per atom
Magnetization ... 0.0 μB per formula unit
DOS at the Fermi energy ... 2.89 states/eV/f.u.

```
data_RbCa
_symmetry_space_group_name_H-M 'P 1'
_symmetry_Int_Tables_number 1
_symmetry_space_group_name_Hall 'P 1'
_cell_length_a 8.2957
_cell_length_b 8.2957
_cell_length_c 8.2957
_cell_angle_alpha 90.00
_cell_angle_beta 90.00
_cell_angle_gamma 90.00
loop_
_atom_site_label
_atom_site_type_symbol
_atom_site_fract_x
_atom_site_fract_y
_atom_site_fract_z
Rb1 Rb 0.5000 0.5000 0.5000
Rb2 Rb 0.5000 0.0000 0.0000
Rb3 Rb 0.0000 0.5000 0.0000
Rb4 Rb 0.0000 0.0000 0.5000
Ca1 Ca 0.0000 0.0000 0.0000
Ca2 Ca 0.0000 0.5000 0.5000
Ca3 Ca 0.5000 0.0000 0.5000
Ca4 Ca 0.5000 0.5000 0.0000
```



2.
Compound: RbCa
Source: the Alexandria database
Functional: PBE
Structure: relaxed

Properties
Calculated total energy ... -4.87 eV per cell
Formation energy ... 0.27 eV per atom
Magnetization ... 0.0 μB per formula unit
DOS at the Fermi energy ... 2.84 states/eV/f.u.

```
data_RbCa
_symmetry_space_group_name_H-M 'P 1'
_symmetry_Int_Tables_number 1
_symmetry_space_group_name_Hall 'P 1'
_cell_length_a 4.1611
_cell_length_b 4.1611
_cell_length_c 15.8208
_cell_angle_alpha 90.00
_cell_angle_beta 90.00
_cell_angle_gamma 120.00
loop_
_atom_site_label
_atom_site_type_symbol
_atom_site_fract_x
_atom_site_fract_y
_atom_site_fract_z
Rb1 Rb 0.3333 0.6667 0.6717
Rb2 Rb 0.6667 0.3333 0.1717
Ca1 Ca 0.3333 0.6667 0.4103
Ca2 Ca 0.6667 0.3333 0.9103
```



3.
Compound: RbCa
Source: the Alexandria database
Functional: PBE
Structure: relaxed

Properties
Calculated total energy ... -7.84 eV per cell
Formation energy ... 0.83 eV per atom
Magnetization ... 0.0 μB per formula unit
DOS at the Fermi energy ... 2.36 states/eV/f.u.

```
data_RbCa
_symmetry_space_group_name_H-M 'P 1'
_symmetry_Int_Tables_number 1
_symmetry_space_group_name_Hall 'P 1'
_cell_length_a 12.2124
_cell_length_b 12.2124
_cell_length_c 12.2124
_cell_angle_alpha 90.00
_cell_angle_beta 90.00
_cell_angle_gamma 90.00
loop_
_atom_site_label
_atom_site_type_symbol
_atom_site_fract_x
_atom_site_fract_y
_atom_site_fract_z
Rb1 Rb 0.2500 0.0000 0.5000
Rb2 Rb 0.7500 0.0000 0.5000
Rb3 Rb 0.0000 0.5000 0.2500
Rb4 Rb 0.0000 0.5000 0.7500
Rb5 Rb 0.5000 0.2500 0.0000
Rb6 Rb 0.5000 0.7500 0.0000
Ca1 Ca 0.2500 0.5000 0.0000
Ca2 Ca 0.7500 0.5000 0.0000
Ca3 Ca 0.5000 0.0000 0.2500
Ca4 Ca 0.5000 0.0000 0.7500
Ca5 Ca 0.0000 0.2500 0.5000
Ca6 Ca 0.0000 0.7500 0.5000
```



4.
Compound: RbCa
Source: the Alexandria database
Functional: PBE
Structure: relaxed

Properties
Calculated total energy ... -20.28 eV per cell
Formation energy ... 0.22 eV per atom
Magnetization ... 0.0 μB per formula unit
DOS at the Fermi energy ... 1.71 states/eV/f.u.

```
data_RbCa
_symmetry_space_group_name_H-M 'P 1'
_symmetry_Int_Tables_number 1
_symmetry_space_group_name_Hall 'P 1'
_cell_length_a 13.2173
_cell_length_b 6.1080
_cell_length_c 12.0874
_cell_angle_alpha 90.00
_cell_angle_beta 90.00
_cell_angle_gamma 90.00
loop_
_atom_site_label
_atom_site_type_symbol
_atom_site_fract_x
_atom_site_fract_y
_atom_site_fract_z
Rb1 Rb 0.3676 0.2500 0.2491
Rb2 Rb 0.8676 0.2500 0.2509
Rb3 Rb 0.6324 0.7500 0.7509
Rb4 Rb 0.1324 0.7500 0.7491
Rb5 Rb 0.1337 0.2500 0.0111
Rb6 Rb 0.6337 0.2500 0.4889
Rb7 Rb 0.8663 0.7500 0.9889
Rb8 Rb 0.3663 0.7500 0.5111
Ca1 Ca 0.3839 0.2500 0.7819
Ca2 Ca 0.8838 0.2500 0.7181
Ca3 Ca 0.6162 0.7500 0.2181
Ca4 Ca 0.1162 0.7500 0.2819
Ca5 Ca 0.1001 0.2500 0.4954
Ca6 Ca 0.6001 0.2500 0.0046
Ca7 Ca 0.8999 0.7500 0.5046
Ca8 Ca 0.3999 0.7500 0.9954
```



5.
Compound: RbCa
Source: the Alexandria database
Functional: PBE
Structure: relaxed

Properties
Calculated total energy ... -5.04 eV per cell
Formation energy ... 0.22 eV per atom
Magnetization ... 0.0 μB per formula unit
DOS at the Fermi energy ... 2.15 states/eV/f.u.

```
data_RbCa
_symmetry_space_group_name_H-M 'P 1'
_symmetry_Int_Tables_number 1
_symmetry_space_group_name_Hall 'P 1'
_cell_length_a 6.9643
_cell_length_b 4.4422
_cell_length_c 7.4887
_cell_angle_alpha 90.00
_cell_angle_beta 90.00
_cell_angle_gamma 90.00
loop_
_atom_site_label
_atom_site_type_symbol
_atom_site_fract_x
_atom_site_fract_y
_atom_site_fract_z
Rb1 Rb 0.5000 0.0000 0.5000
Rb2 Rb 0.0000 0.5000 0.5000
Ca1 Ca 0.0000 0.0000 0.0000
Ca2 Ca 0.5000 0.5000 0.0000
```



6.
Compound: RbCa
Source: the Alexandria database
Functional: PBE
Structure: relaxed

Properties
Calculated total energy ... -5.37 eV per cell
Formation energy ... 0.14 eV per atom
Magnetization ... 0.0 μB per formula unit
DOS at the Fermi energy ... 2.24 states/eV/f.u.

```
data_RbCa
_symmetry_space_group_name_H-M 'P 1'
_symmetry_Int_Tables_number 1
_symmetry_space_group_name_Hall 'P 1'
_cell_length_a 4.2495
_cell_length_b 4.2381
_cell_length_c 14.0768
_cell_angle_alpha 72.60
_cell_angle_beta 90.00
_cell_angle_gamma 90.00
loop_
_atom_site_label
_atom_site_type_symbol
_atom_site_fract_x
_atom_site_fract_y
_atom_site_fract_z
Ca1 Ca 0.2500 0.3406 0.4086
Ca2 Ca 0.7500 0.6594 0.5914
Rb1 Rb 0.2500 0.9095 0.8437
Rb2 Rb 0.7500 0.0905 0.1563
```



7.
Compound: Rb2Ca
Source: the Alexandria database
Functional: PBE
Structure: relaxed

Properties
Calculated total energy ... -6.04 eV per cell
Formation energy ... 0.31 eV per atom
Magnetization ... 0.0 μB per formula unit
Energy above the lowest structure with this stoichiometry ... 122 meV per atom
DOS at the Fermi energy ... 3.94 states/eV/f.u.

```
data_Rb2Ca
_symmetry_space_group_name_H-M 'P 1'
_symmetry_Int_Tables_number 1
_symmetry_space_group_name_Hall 'P 1'
_cell_length_a 8.3212
_cell_length_b 8.3212
_cell_length_c 8.3212
_cell_angle_alpha 60.00
_cell_angle_beta 60.00
_cell_angle_gamma 60.00
loop_
_atom_site_label
_atom_site_type_symbol
_atom_site_fract_x
_atom_site_fract_y
_atom_site_fract_z
Ca1 Ca 0.0000 0.0000 0.0000
Ca2 Ca 0.2500 0.2500 0.2500
Rb1 Rb 0.1250 0.6250 0.6250
Rb2 Rb 0.6250 0.1250 0.6250
Rb3 Rb 0.6250 0.6250 0.6250
Rb4 Rb 0.6250 0.6250 0.1250
```



8.
Compound: RbCa3
Source: the Alexandria database
Functional: PBE
Structure: relaxed

Properties
Calculated total energy ... -6.12 eV per cell
Formation energy ... 0.21 eV per atom
Magnetization ... 0.0 μB per formula unit
DOS at the Fermi energy ... 3.71 states/eV/f.u.

```
data_RbCa3
_symmetry_space_group_name_H-M 'P 1'
_symmetry_Int_Tables_number 1
_symmetry_space_group_name_Hall 'P 1'
_cell_length_a 6.5346
_cell_length_b 6.5346
_cell_length_c 6.5346
_cell_angle_alpha 60.00
_cell_angle_beta 60.00
_cell_angle_gamma 60.00
loop_
_atom_site_label
_atom_site_type_symbol
_atom_site_fract_x
_atom_site_fract_y
_atom_site_fract_z
Rb1 Rb 0.0000 0.0000 0.0000
Ca1 Ca 0.2500 0.2500 0.2500
Ca2 Ca 0.7500 0.7500 0.7500
Ca3 Ca 0.5000 0.5000 0.5000
```



9.
Compound: RbCa
Source: the Alexandria database
Functional: PBE
Structure: relaxed

Properties
Calculated total energy ... -5.16 eV per cell
Formation energy ... 0.84 eV per atom
Magnetization ... 0.0 μB per formula unit
DOS at the Fermi energy ... 3.75 states/eV/f.u.

```
data_RbCa
_symmetry_space_group_name_H-M 'P 1'
_symmetry_Int_Tables_number 1
_symmetry_space_group_name_Hall 'P 1'
_cell_length_a 9.7710
_cell_length_b 9.7710
_cell_length_c 9.7710
_cell_angle_alpha 90.00
_cell_angle_beta 90.00
_cell_angle_gamma 90.00
loop_
_atom_site_label
_atom_site_type_symbol
_atom_site_fract_x
_atom_site_fract_y
_atom_site_fract_z
Rb1 Rb 0.0000 0.0000 0.0000
Rb2 Rb 0.0000 0.5000 0.5000
Rb3 Rb 0.5000 0.0000 0.5000
Rb4 Rb 0.5000 0.5000 0.0000
Ca1 Ca 0.2500 0.2500 0.2500
Ca2 Ca 0.2500 0.7500 0.7500
Ca3 Ca 0.7500 0.2500 0.7500
Ca4 Ca 0.7500 0.7500 0.2500
```



10.
Compound: RbCa
Source: the Alexandria database
Functional: PBE
Structure: relaxed

Properties
Calculated total energy ... -5.31 eV per cell
Formation energy ... 0.16 eV per atom
Magnetization ... 0.0 μB per formula unit
DOS at the Fermi energy ... 2.00 states/eV/f.u.

```
data_RbCa
_symmetry_space_group_name_H-M 'P 1'
_symmetry_Int_Tables_number 1
_symmetry_space_group_name_Hall 'P 1'
_cell_length_a 4.2639
_cell_length_b 4.2760
_cell_length_c 15.1030
_cell_angle_alpha 89.58
_cell_angle_beta 82.35
_cell_angle_gamma 60.11
loop_
_atom_site_label
_atom_site_type_symbol
_atom_site_fract_x
_atom_site_fract_y
_atom_site_fract_z
Ca1 Ca 0.4321 0.2036 0.5245
Ca2 Ca 0.6438 0.5936 0.7259
Rb1 Rb 0.2528 0.7961 0.2729
Rb2 Rb 0.1585 0.3200 0.9776
```